Entry 1:
Compound: CeSc3
Source: the Alexandria database
Functional: PBE
Structure: relaxed

As for the final energy: -6.162 eV/atom. The value obtained for the density of states at the Fermi level is 9.20 states/eV/f.u. The value obtained for the distance to the lowest polymorph of the same formula is 10 meV per atom.

It has space group Pmm2 (No. 25), with a = 3.368 Å, b = 5.338 Å, c = 5.727 Å, α = 90.00°, β = 90.00° and γ = 90.00°. Symmetry generates all atoms from Ce at (0.000, 0.000, 0.000), Sc at (0.000, 0.500, 0.343), Sc at (0.500, 0.000, 0.511) and Sc at (0.500, 0.500, 0.843).

Entry 2:
Compound: K2ScCu
Source: the Alexandria database
Functional: PBE
Structure: relaxed

As for the final energy: -2.868 eV/atom. The value obtained for the density of states at the Fermi level is 3.11 states/eV/f.u. The value obtained for the distance to the lowest polymorph of the same formula is 34 meV per atom.

It has space group C2/m (No. 12), with a = 21.415 Å, b = 3.501 Å, c = 4.118 Å, α = 90.00°, β = 100.96° and γ = 90.00°. Symmetry generates all atoms from K at (0.152, 0.000, 0.149), Sc at (0.000, 0.000, 0.500) and Cu at (0.000, 0.500, 0.000).

Entry 3:
Compound: PrGe2Pd3
Source: the Alexandria database
Functional: PBE
Structure: relaxed

As for the final energy: -5.413 eV/atom. The value obtained for the density of states at the Fermi level is 4.63 states/eV/f.u.

It has space group I4/mmm (No. 139), with a = 4.230 Å, b = 4.230 Å, c = 14.774 Å, α = 90.00°, β = 90.00° and γ = 90.00°. Symmetry generates all atoms from Pr at (0.000, 0.000, 0.000), Ge at (0.000, 0.000, 0.338), Pd at (0.000, 0.000, 0.500) and Pd at (0.000, 0.500, 0.250).

Entry 4:
Compound: NaGe2Pt
Source: the Alexandria database
Functional: PBE
Structure: relaxed

As for the final energy: -4.439 eV/atom. The value obtained for the density of states at the Fermi level is 2.79 states/eV/f.u.

It has space group R-3m (No. 166, hexagonal axes), with a = 4.2064 Å, b = 4.2064 Å, c = 16.8225 Å, α = 90.00°, β = 90.00° and γ = 120.00°. Symmetry generates all atoms from Na at (0.0000, 0.0000, 0.0000), Ge at (0.0000, 0.0000, 0.2172) and Pt at (0.0000, 0.0000, 0.5000).

Entry 5:
Compound: Re2NiRh
Source: the Alexandria database
Functional: PBE
Structure: relaxed

As for the final energy: -9.497 eV/atom. The value obtained for the density of states at the Fermi level is 3.43 states/eV/f.u. The value obtained for the distance to the lowest polymorph of the same formula is 93 meV per atom.

It has space group Pmmm (No. 47), with a = 2.681 Å, b = 3.865 Å, c = 5.337 Å, α = 90.00°, β = 90.00° and γ = 90.00°. Symmetry generates all atoms from Re at (0.000, 0.000, 0.232), Ni at (0.500, 0.500, 0.000) and Rh at (0.500, 0.500, 0.500).

Entry 6:
Compound: BeHF3
Source: the Alexandria database
Functional: PBE
Structure: relaxed

As for the final energy: -3.526 eV/atom. The value obtained for the density of states at the Fermi level is 0.00 states/eV/f.u. The value obtained for the distance to the lowest polymorph of the same formula is 1341 meV per atom.

It has space group Pm-3m (No. 221), with a = 3.299 Å, b = 3.299 Å, c = 3.299 Å, α = 90.00°, β = 90.00° and γ = 90.00°. Symmetry generates all atoms from Be at (0.000, 0.000, 0.000), H at (0.500, 0.500, 0.500) and F at (0.000, 0.500, 0.500).

Entry 7:
Compound: NaCeMgHg
Source: the Alexandria database
Functional: PBE
Structure: relaxed

As for the final energy: -2.360 eV/atom. The value obtained for the density of states at the Fermi level is 7.46 states/eV/f.u.

It has space group F-43m (No. 216), with a = 7.399 Å, b = 7.399 Å, c = 7.399 Å, α = 90.00°, β = 90.00° and γ = 90.00°. Symmetry generates all atoms from Na at (0.000, 0.000, 0.000), Ce at (0.250, 0.250, 0.750), Mg at (0.250, 0.250, 0.250) and Hg at (0.000, 0.000, 0.500).

Entry 8:
Compound: Nd3Sm2Tl4
Source: the Alexandria database
Functional: PBE
Structure: relaxed

As for the final energy: -3.905 eV/atom. The value obtained for the density of states at the Fermi level is 5.98 states/eV/f.u. The value obtained for the distance to the lowest polymorph of the same formula is 103 meV per atom.

It has space group Cmce (No. 64), with a = 7.429 Å, b = 15.988 Å, c = 9.790 Å, α = 90.00°, β = 90.00° and γ = 90.00°. Symmetry generates all atoms from Nd at (0.000, 0.000, 0.000), Nd at (0.250, 0.218, 0.250), Sm at (0.000, 0.106, 0.560), Tl at (0.000, 0.194, 0.973) and Tl at (0.250, 0.015, 0.250).

Entry 9:
Compound: Pm8YPb6
Source: the Alexandria database
Functional: PBE
Structure: relaxed

As for the final energy: -4.844 eV/atom. The value obtained for the density of states at the Fermi level is 10.80 states/eV/f.u.

It has space group R-3 (No. 148, hexagonal axes), with a = 9.3815 Å, b = 9.3815 Å, c = 20.0099 Å, α = 90.00°, β = 90.00° and γ = 120.00°. Symmetry generates all atoms from Pm at (0.0000, 0.0000, 0.1663), Pm at (0.0009, 0.6640, 0.3971), Y at (0.0000, 0.0000, 0.5000) and Pb at (0.9995, 0.3288, 0.4312).

Entry 10:
Compound: Tb2Sm4In
Source: the Alexandria database
Functional: PBE
Structure: relaxed

As for the final energy: -4.480 eV/atom. The value obtained for the density of states at the Fermi level is 10.14 states/eV/f.u. The value obtained for the distance to the lowest polymorph of the same formula is 0 meV per atom.

It has space group R-3m (No. 166, hexagonal axes), with a = 3.6530 Å, b = 3.6530 Å, c = 58.9787 Å, α = 90.00°, β = 90.00° and γ = 120.00°. Symmetry generates all atoms from Tb at (0.0000, 0.0000, 0.1906), Sm at (0.0000, 0.0000, 0.0937), Sm at (0.0000, 0.0000, 0.2900) and In at (0.0000, 0.0000, 0.0000).

Entry 11:
Compound: NaCd2Ga
Source: the Alexandria database
Functional: PBE
Structure: relaxed

As for the final energy: -1.612 eV/atom. The value obtained for the density of states at the Fermi level is 1.35 states/eV/f.u.

It has space group Pnma (No. 62), with a = 7.470 Å, b = 4.775 Å, c = 10.599 Å, α = 90.00°, β = 90.00° and γ = 90.00°. Symmetry generates all atoms from Na at (0.237, 0.250, 0.167), Cd at (0.068, 0.250, 0.852), Cd at (0.238, 0.750, 0.962) and Ga at (0.051, 0.750, 0.398).

Entry 12:
Compound: Sr2LiHfS5
Source: the Alexandria database
Functional: PBE
Structure: relaxed

As for the final energy: -5.569 eV/atom. The value obtained for the density of states at the Fermi level is 5.89 states/eV/f.u. The calculation puts the uncorrected formation energy at -1584 meV/atom.

It has space group Cmc2_1 (No. 36), with a = 3.914 Å, b = 17.092 Å, c = 12.277 Å, α = 90.00°, β = 90.00° and γ = 90.00°. Symmetry generates all atoms from Sr at (0.000, 0.106, 0.000), Sr at (0.000, 0.130, 0.634), Li at (0.000, 0.451, 0.775), Hf at (0.000, 0.205, 0.342), S at (0.000, 0.062, 0.383), S at (0.000, 0.282, 0.983), S at (0.000, 0.311, 0.705), S at (0.000, 0.352, 0.322) and S at (0.000, 0.497, 0.092).

Entry 13:
Compound: Ca3Mn5Se12
Source: the Alexandria database
Functional: PBE
Structure: relaxed

As for the final energy: -5.444 eV/atom. The value obtained for the density of states at the Fermi level is 10.00 states/eV/f.u. The calculation puts the uncorrected formation energy at -761 meV/atom.

It has space group Ia-3d (No. 230), with a = 15.759 Å, b = 15.759 Å, c = 15.759 Å, α = 90.00°, β = 90.00° and γ = 90.00°. Symmetry generates all atoms from Ca at (0.000, 0.250, 0.125), Mn at (0.000, 0.000, 0.000), Mn at (0.000, 0.250, 0.375) and Se at (0.030, 0.057, 0.647).

Entry 14:
Compound: Mn2InSi2
Source: the Alexandria database
Functional: PBE
Structure: relaxed

As for the final energy: -6.349 eV/atom. The value obtained for the density of states at the Fermi level is 2.89 states/eV/f.u. The calculation puts the uncorrected formation energy at 36 meV/atom.

It has space group P4/mbm (No. 127), with a = 7.218 Å, b = 7.218 Å, c = 2.671 Å, α = 90.00°, β = 90.00° and γ = 90.00°. Symmetry generates all atoms from Mn at (0.154, 0.346, 0.000), In at (0.000, 0.000, 0.500) and Si at (0.134, 0.634, 0.500).

Entry 15:
Compound: CoAuCl
Source: the Alexandria database
Functional: PBE
Structure: relaxed

As for the final energy: -3.568 eV/atom. The value obtained for the density of states at the Fermi level is 3.63 states/eV/f.u. The calculation puts the uncorrected formation energy at 509 meV/atom. The value obtained for the distance to the lowest polymorph of the same formula is 578 meV per atom.

It has space group F-43m (No. 216), with a = 6.135 Å, b = 6.135 Å, c = 6.135 Å, α = 90.00°, β = 90.00° and γ = 90.00°. Symmetry generates all atoms from Co at (0.000, 0.000, 0.000), Au at (0.250, 0.250, 0.750) and Cl at (0.250, 0.250, 0.250).

Entry 16:
Compound: AcPr3Y7
Source: the Alexandria database
Functional: PBE
Structure: relaxed

As for the final energy: -5.575 eV/atom. The value obtained for the density of states at the Fermi level is 17.52 states/eV/f.u. The value obtained for the distance to the lowest polymorph of the same formula is 22 meV per atom.

It has space group C2/m (No. 12), with a = 11.816 Å, b = 10.108 Å, c = 6.613 Å, α = 90.00°, β = 94.74° and γ = 90.00°. Symmetry generates all atoms from Ac at (0.000, 0.000, 0.000), Pr at (0.000, 0.323, 0.500), Pr at (0.000, 0.500, 0.000), Y at (0.000, 0.000, 0.500), Y at (0.235, 0.500, 0.700) and Y at (0.247, 0.172, 0.760).

Entry 17:
Compound: Y2UPt9
Source: the Alexandria database
Functional: PBE
Structure: relaxed

As for the final energy: -7.493 eV/atom. The value obtained for the density of states at the Fermi level is 9.28 states/eV/f.u.

It has space group P4/mmm (No. 123), with a = 4.142 Å, b = 4.142 Å, c = 12.362 Å, α = 90.00°, β = 90.00° and γ = 90.00°. Symmetry generates all atoms from Y at (0.000, 0.000, 0.163), U at (0.000, 0.000, 0.500), Pt at (0.000, 0.500, 0.000), Pt at (0.000, 0.500, 0.338), Pt at (0.500, 0.500, 0.167) and Pt at (0.500, 0.500, 0.500).

Entry 18:
Compound: Pu3ThTl2O12
Source: the Alexandria database
Functional: PBE
Structure: relaxed

As for the final energy: -8.770 eV/atom. The value obtained for the density of states at the Fermi level is 9.30 states/eV/f.u. The calculation puts the uncorrected formation energy at -2401 meV/atom.

It has space group R-3m (No. 166, hexagonal axes), with a = 8.2365 Å, b = 8.2365 Å, c = 15.6649 Å, α = 90.00°, β = 90.00° and γ = 120.00°. Symmetry generates all atoms from Pu at (0.0000, 0.5000, 0.0000), Th at (0.0000, 0.0000, 0.5000), Tl at (0.0000, 0.0000, 0.1108), O at (0.0446, 0.5223, 0.8812) and O at (0.1098, 0.2195, 0.6287).

Entry 19:
Compound: La2NdEu
Source: the Alexandria database
Functional: PBE
Structure: relaxed

As for the final energy: -6.192 eV/atom. The value obtained for the density of states at the Fermi level is 6.26 states/eV/f.u. The value obtained for the distance to the lowest polymorph of the same formula is 0 meV per atom.

It has space group P4/mmm (No. 123), with a = 3.761 Å, b = 3.761 Å, c = 10.635 Å, α = 90.00°, β = 90.00° and γ = 90.00°. Symmetry generates all atoms from La at (0.000, 0.000, 0.237), Nd at (0.500, 0.500, 0.000) and Eu at (0.500, 0.500, 0.500).

Entry 20:
Compound: Sc4TcPt
Source: the Alexandria database
Functional: PBE
Structure: relaxed

As for the final energy: -7.391 eV/atom. The value obtained for the density of states at the Fermi level is 4.41 states/eV/f.u. The value obtained for the distance to the lowest polymorph of the same formula is 140 meV per atom.

It has space group R-3m (No. 166, hexagonal axes), with a = 4.6151 Å, b = 4.6151 Å, c = 21.4819 Å, α = 90.00°, β = 90.00° and γ = 120.00°. Symmetry generates all atoms from Sc at (0.0000, 0.0000, 0.1227), Sc at (0.0000, 0.0000, 0.3713), Tc at (0.0000, 0.0000, 0.0000) and Pt at (0.0000, 0.0000, 0.5000).